Tm3Sc7 | PBE | relaxed

Computed properties:
For the energy above the most stable polymorph in this dataset, the calculation gives 0.151 eV per atom. The value obtained for the energy of formation from the pure elements is 2.05 eV/f.u. Its magnetization is 0.55 μB/f.u. The space-group type is P6_3mc.

Geometry as POSCAR:
```
Tm3Sc7
1.0
10.1826 0.0000 0.0000
-5.0913 8.8184 0.0000
0.0000 0.0000 5.8743
Tm Sc
6 14
direct
0.2064 0.4127 0.0000
0.2064 0.7936 0.0000
0.4127 0.2064 0.5000
0.5873 0.7936 0.0000
0.7936 0.2064 0.5000
0.7936 0.5873 0.5000
0.0607 0.5304 0.6390
0.1180 0.2359 0.4838
0.1180 0.8820 0.4838
0.2359 0.1180 0.9838
0.3333 0.6667 0.3567
0.4696 0.5304 0.6390
0.4696 0.9393 0.6390
0.5304 0.0607 0.1390
0.5304 0.4696 0.1390
0.6667 0.3333 0.8567
0.7641 0.8820 0.4838
0.8820 0.1180 0.9838
0.8820 0.7641 0.9838
0.9393 0.4696 0.1390
```

***

Tm2Sc3 | PBE | relaxed

Computed properties:
For the energy above the most stable polymorph in this dataset, the calculation gives 0.097 eV per atom. The value obtained for the energy of formation from the pure elements is 0.55 eV/f.u. Its magnetization is 0.00 μB/f.u. The space-group type is Fdd2.

Geometry as POSCAR:
```
Tm2Sc3
1.0
0.0000 14.7493 1.6318
5.5424 0.0000 1.6318
5.5424 14.7493 0.0000
Tm Sc
4 6
direct
0.2798 0.7202 0.3221
0.5721 0.9279 0.5298
0.7202 0.2798 0.6779
0.9279 0.5721 0.9702
0.0210 0.7512 0.1761
0.0739 0.1983 0.2290
0.1983 0.0739 0.4988
0.3303 0.3303 0.6697
0.5803 0.5803 0.9197
0.7512 0.0210 0.0517
```

***

TmSc2 | PBE | relaxed

Computed properties:
For the energy above the most stable polymorph in this dataset, the calculation gives 0.216 eV per atom. The value obtained for the energy of formation from the pure elements is 0.69 eV/f.u. Its magnetization is 1.70 μB/f.u. The space-group type is Fd-3m.

Geometry as POSCAR:
```
TmSc2
1.0
0.0000 4.3877 4.3877
4.3877 0.0000 4.3877
4.3877 4.3877 0.0000
Tm Sc
2 4
direct
0.1250 0.1250 0.1250
0.8750 0.8750 0.8750
0.0000 0.5000 0.5000
0.5000 0.0000 0.5000
0.5000 0.5000 0.0000
0.5000 0.5000 0.5000
```

***

Q: What is the magnetization in the first record?
A: 0.55 μB/f.u.

***

Q: energy of formation from the pure elements of number 3 (TmSc2)?
A: 0.69 eV/f.u.